1.
Compound: Sr2ThTe2O2
Source: Alexandria via LeMat-Bulk
Functional: PBE-GGA
Structure: optimized geometry

Summary:
Total DFT energy (no corrections) = -6.24 eV/atom
Energy relative to the elements, uncorrected = -2.390 eV/atom
Symmetry = I4/mmm
Total moment = 0.00 Bohr magnetons per cell

Unit cell a=4.5816 b=4.5816 c=9.6191 alpha=103.78 beta=103.78 gamma=90.00
Sites, in units of the cell vectors:
Sr: 0.3696 0.3696 0.7392
Sr: 0.6304 0.6304 0.2608
Th: 0.0000 0.0000 0.0000
Te: 0.1763 0.1763 0.3525
Te: 0.8237 0.8237 0.6475
O: 0.0000 0.5000 0.0000
O: 0.5000 0.0000 0.0000

=====

2.
Compound: Sn2Pb2I
Source: Alexandria via LeMat-Bulk
Functional: PBE-GGA
Structure: optimized geometry

Summary:
Total DFT energy (no corrections) = -3.51 eV/atom
Distance to the lowest polymorph of the same formula = 0.0000 eV/atom
Energy relative to the elements, uncorrected = -0.112 eV/atom
Symmetry = I4/mmm
Total moment = 0.00 Bohr magnetons per cell

Unit cell a=4.4337 b=4.4337 c=9.2059 alpha=76.07 beta=76.07 gamma=90.00
Sites, in units of the cell vectors:
Pb: 0.3878 0.3878 0.2244
Pb: 0.6122 0.6122 0.7756
I: 0.0000 0.0000 0.0000
Sn: 0.7500 0.2500 0.5000
Sn: 0.2500 0.7500 0.5000

=====

3.
Compound: LiMg4Tl3
Source: Alexandria via LeMat-Bulk
Functional: PBE-GGA
Structure: optimized geometry

Summary:
Total DFT energy (no corrections) = -1.98 eV/atom
ΔE_f = -0.056 eV/atom
Symmetry = R-3m
Total moment = 0.00 Bohr magnetons per cell

Unit cell a=5.0668 b=5.0668 c=8.9499 alpha=73.56 beta=73.56 gamma=60.00
Sites, in units of the cell vectors:
Mg: 0.8764 0.8764 0.3709
Mg: 0.3767 0.3767 0.8700
Mg: 0.1236 0.1236 0.6291
Mg: 0.6233 0.6233 0.1300
Tl: 0.2576 0.2576 0.2271
Tl: 0.7424 0.7424 0.7729
Tl: 0.5000 0.5000 0.5000
Li: 0.0000 0.0000 0.0000

=====

4.
Compound: ReSeN2Cl
Source: Alexandria via LeMat-Bulk
Functional: PBE-GGA
Structure: optimized geometry

Summary:
Total DFT energy (no corrections) = -4.19 eV/atom
Distance to the lowest polymorph of the same formula = 2.1858 eV/atom
Energy relative to the elements, uncorrected = 2.695 eV/atom
Symmetry = P4/mmm
Total moment = 1.93 Bohr magnetons per cell

Unit cell a=3.8750 b=3.8750 c=4.6811 alpha=90.00 beta=90.00 gamma=90.00
Sites, in units of the cell vectors:
Re: 0.5000 0.5000 0.5000
N: 0.0000 0.5000 0.0000
N: 0.5000 0.0000 0.0000
Se: 0.0000 0.0000 0.5000
Cl: 0.0000 0.0000 0.0000

=====

5.
Compound: PH2Cl
Source: Alexandria via LeMat-Bulk
Functional: PBE-GGA
Structure: optimized geometry

Summary:
Total DFT energy (no corrections) = -3.73 eV/atom
Distance to the lowest polymorph of the same formula = 0.0000 eV/atom
Symmetry = P1
Total moment = 0.00 Bohr magnetons per cell

Unit cell a=8.3061 b=6.0236 c=5.5207 alpha=94.16 beta=145.79 gamma=92.62
Sites, in units of the cell vectors:
P: 0.3228 0.0622 0.4283
P: 0.9507 0.3103 0.8160
H: 0.1718 0.9054 0.0564
H: 0.0999 0.0136 0.3262
H: 0.9311 0.5042 0.9498
H: 0.6544 0.2660 0.3654
Cl: 0.5718 0.8182 0.8702
Cl: 0.1373 0.4700 0.7546

=====

6.
Compound: TiReTcRu
Source: Alexandria via LeMat-Bulk
Functional: PBE-GGA
Structure: optimized geometry

Summary:
Total DFT energy (no corrections) = -10.16 eV/atom
ΔE_f = -0.164 eV/atom
Symmetry = F-43m
Total moment = 0.00 Bohr magnetons per cell

Unit cell a=4.3711 b=4.3711 c=4.3711 alpha=60.00 beta=60.00 gamma=60.00
Sites, in units of the cell vectors:
Re: 0.5000 0.5000 0.5000
Ti: 0.0000 0.0000 0.0000
Tc: 0.2500 0.2500 0.2500
Ru: 0.7500 0.7500 0.7500

=====

7.
Compound: Tb2SiTc
Source: Alexandria via LeMat-Bulk
Functional: PBE-GGA
Structure: optimized geometry

Summary:
Total DFT energy (no corrections) = -5.79 eV/atom
Energy relative to the elements, uncorrected = 0.471 eV/atom
Symmetry = R-3m
Total moment = 0.59 Bohr magnetons per cell

Unit cell a=3.2370 b=3.2370 c=9.9526 alpha=80.64 beta=80.64 gamma=60.00
Sites, in units of the cell vectors:
Si: 0.5000 0.5000 0.5000
Tb: 0.0899 0.0899 0.7303
Tb: 0.9101 0.9101 0.2697
Tc: 0.0000 0.0000 0.0000

=====

8.
Compound: HfGaAg
Source: Alexandria via LeMat-Bulk
Functional: PBE-GGA
Structure: optimized geometry

Summary:
Total DFT energy (no corrections) = -5.46 eV/atom
ΔE_f = -0.179 eV/atom
Symmetry = Pnma
Total moment = 0.00 Bohr magnetons per cell

Unit cell a=6.1857 b=4.1524 c=8.5733 alpha=90.00 beta=90.00 gamma=90.00
Sites, in units of the cell vectors:
Hf: 0.3610 0.2500 0.4044
Hf: 0.1390 0.7500 0.9044
Hf: 0.6390 0.7500 0.5956
Hf: 0.8610 0.2500 0.0956
Ga: 0.8962 0.2500 0.7513
Ga: 0.6038 0.7500 0.2513
Ga: 0.1038 0.7500 0.2487
Ga: 0.3962 0.2500 0.7487
Ag: 0.8704 0.2500 0.4255
Ag: 0.6296 0.7500 0.9255
Ag: 0.1296 0.7500 0.5745
Ag: 0.3704 0.2500 0.0745

=====

9.
Compound: V6FeIr5
Source: Alexandria via LeMat-Bulk
Functional: PBE-GGA
Structure: optimized geometry

Summary:
Total DFT energy (no corrections) = -9.28 eV/atom
ΔE_f = -0.324 eV/atom
Symmetry = Immm
Total moment = 0.45 Bohr magnetons per cell

Unit cell a=4.2981 b=7.4749 c=7.4749 alpha=121.98 beta=106.72 gamma=106.72
Sites, in units of the cell vectors:
Ir: 0.5000 0.1950 0.8050
Ir: 0.0000 0.3430 0.6570
Ir: 0.5000 0.5000 0.5000
Ir: 0.0000 0.6570 0.3430
Ir: 0.5000 0.8050 0.1950
Fe: 0.0000 0.0000 0.0000
V: 0.2183 0.0652 0.3713
V: 0.7817 0.6287 0.9348
V: 0.7110 0.2112 0.2112
V: 0.2890 0.7888 0.7888
V: 0.2183 0.3713 0.0652
V: 0.7817 0.9348 0.6287

=====

10.
Compound: RbMnSn3
Source: Alexandria via LeMat-Bulk
Functional: PBE-GGA
Structure: optimized geometry

Summary:
Total DFT energy (no corrections) = -4.33 eV/atom
ΔE_f = 0.099 eV/atom
Symmetry = Pm-3m
Total moment = 1.92 Bohr magnetons per cell

Unit cell a=5.0659 b=5.0659 c=5.0659 alpha=90.00 beta=90.00 gamma=90.00
Sites, in units of the cell vectors:
Mn: 0.0000 0.0000 0.0000
Sn: 0.0000 0.5000 0.0000
Sn: 0.0000 0.0000 0.5000
Sn: 0.5000 0.0000 0.0000
Rb: 0.5000 0.5000 0.5000

=====

11.
Compound: Dy6Y5Er2
Source: Alexandria via LeMat-Bulk
Functional: PBE-GGA
Structure: optimized geometry

Summary:
Total DFT energy (no corrections) = -5.21 eV/atom
ΔE_f = 0.101 eV/atom
Symmetry = Pbam
Total moment = 0.00 Bohr magnetons per cell

Unit cell a=3.5788 b=11.5781 c=20.2368 alpha=90.00 beta=90.00 gamma=90.00
Sites, in units of the cell vectors:
Dy: 0.0000 0.0829 0.3677
Dy: 0.0000 0.9171 0.6323
Dy: 0.0000 0.5829 0.1323
Dy: 0.0000 0.4171 0.8677
Dy: 0.5000 0.3289 0.1369
Dy: 0.5000 0.6711 0.8631
Dy: 0.5000 0.8289 0.3631
Dy: 0.5000 0.1711 0.6369
Dy: 0.0000 0.5612 0.4196
Dy: 0.0000 0.4388 0.5804
Dy: 0.0000 0.0612 0.0804
Dy: 0.0000 0.9388 0.9196
Y: 0.5000 0.3026 0.4477
Y: 0.5000 0.6974 0.5523
Y: 0.5000 0.8026 0.0523
Y: 0.5000 0.1974 0.9477
Y: 0.5000 0.5894 0.2737
Y: 0.5000 0.4106 0.7263
Y: 0.5000 0.0894 0.2263
Y: 0.5000 0.9106 0.7737
Y: 0.5000 0.5000 0.0000
Y: 0.5000 0.0000 0.5000
Er: 0.0000 0.3324 0.2901
Er: 0.0000 0.6676 0.7099
Er: 0.0000 0.8324 0.2099
Er: 0.0000 0.1676 0.7901

=====

12.
Compound: SbPtO3
Source: Alexandria via LeMat-Bulk
Functional: PBE-GGA
Structure: optimized geometry

Summary:
Total DFT energy (no corrections) = -5.13 eV/atom
Energy relative to the elements, uncorrected = -0.124 eV/atom
Symmetry = Pm-3m
Total moment = 1.23 Bohr magnetons per cell

Unit cell a=3.9722 b=3.9722 c=3.9722 alpha=90.00 beta=90.00 gamma=90.00
Sites, in units of the cell vectors:
Sb: 0.0000 0.0000 0.0000
O: 0.0000 0.5000 0.0000
O: 0.0000 0.0000 0.5000
O: 0.5000 0.0000 0.0000
Pt: 0.5000 0.5000 0.5000

=====

13.
Compound: Cu5I12Br3
Source: Alexandria via LeMat-Bulk
Functional: PBE-GGA
Structure: optimized geometry

Summary:
Total DFT energy (no corrections) = -2.09 eV/atom
Energy relative to the elements, uncorrected = 0.118 eV/atom
Symmetry = Ia-3d
Total moment = 0.00 Bohr magnetons per cell

Unit cell a=15.6129 b=15.6129 c=15.6129 alpha=109.47 beta=109.47 gamma=109.47
Sites, in units of the cell vectors:
Br: 0.7500 0.3750 0.1250
Br: 0.8750 0.7500 0.1250
Br: 0.3750 0.7500 0.6250
Br: 0.2500 0.1250 0.3750
Br: 0.8750 0.1250 0.2500
Br: 0.3750 0.6250 0.2500
Br: 0.6250 0.3750 0.7500
Br: 0.1250 0.8750 0.7500
Br: 0.7500 0.8750 0.6250
Br: 0.6250 0.2500 0.3750
Br: 0.1250 0.2500 0.8750
Br: 0.2500 0.6250 0.8750
Cu: 0.1250 0.3750 0.2500
Cu: 0.0000 0.5000 0.0000
Cu: 0.0000 0.0000 0.0000
Cu: 0.3750 0.2500 0.1250
Cu: 0.5000 0.0000 0.5000
Cu: 0.5000 0.5000 0.0000
Cu: 0.1250 0.7500 0.3750
Cu: 0.7500 0.1250 0.8750
Cu: 0.7500 0.6250 0.3750
Cu: 0.3750 0.1250 0.7500
Cu: 0.6250 0.8750 0.2500
Cu: 0.5000 0.5000 0.5000
Cu: 0.5000 0.0000 0.0000
Cu: 0.0000 0.0000 0.5000
Cu: 0.2500 0.3750 0.6250
Cu: 0.2500 0.8750 0.1250
Cu: 0.0000 0.5000 0.5000
Cu: 0.8750 0.2500 0.6250
Cu: 0.6250 0.7500 0.8750
Cu: 0.8750 0.6250 0.7500
I: 0.6674 0.1272 0.9942
I: 0.3268 0.4942 0.3671
I: 0.0058 0.3728 0.3326
I: 0.4942 0.1674 0.1272
I: 0.5403 0.6674 0.6732
I: 0.0058 0.6329 0.1732
I: 0.3268 0.8326 0.4597
I: 0.1329 0.9597 0.1272
I: 0.6329 0.0058 0.6732
I: 0.6674 0.5403 0.1732
I: 0.8326 0.5058 0.3728
I: 0.8268 0.8671 0.9942
I: 0.1272 0.6674 0.4942
I: 0.3728 0.3671 0.0403
I: 0.0403 0.8671 0.3728
I: 0.4597 0.1272 0.6329
I: 0.0403 0.1732 0.1674
I: 0.5058 0.6732 0.1329
I: 0.8268 0.9597 0.3326
I: 0.1272 0.4597 0.1329
I: 0.3728 0.0058 0.8326
I: 0.6329 0.6272 0.4597
I: 0.8671 0.8268 0.4942
I: 0.8326 0.3268 0.9597
I: 0.3671 0.3728 0.5403
I: 0.1329 0.1732 0.5058
I: 0.1674 0.6732 0.0403
I: 0.1732 0.0403 0.6674
I: 0.6272 0.9942 0.1674
I: 0.8728 0.5403 0.8671
I: 0.4942 0.3268 0.8671
I: 0.5403 0.8728 0.3671
I: 0.9597 0.8268 0.8326
I: 0.9597 0.1329 0.6272
I: 0.8728 0.3326 0.5058
I: 0.1732 0.1329 0.0058
I: 0.6272 0.6329 0.9597
I: 0.3671 0.9942 0.3268
I: 0.3326 0.4597 0.8268
I: 0.1674 0.4942 0.6272
I: 0.8671 0.0403 0.8728
I: 0.6732 0.1674 0.5403
I: 0.5058 0.8326 0.8728
I: 0.9942 0.3671 0.8268
I: 0.4597 0.3326 0.3268
I: 0.9942 0.6272 0.6674
I: 0.6732 0.5058 0.6329
I: 0.3326 0.8728 0.0058

=====

14.
Compound: MnTcPb
Source: Alexandria via LeMat-Bulk
Functional: PBE-GGA
Structure: optimized geometry

Summary:
Total DFT energy (no corrections) = -7.11 eV/atom
Distance to the lowest polymorph of the same formula = 0.1369 eV/atom
ΔE_f = 0.634 eV/atom
Symmetry = F-43m
Total moment = 0.06 Bohr magnetons per cell

Unit cell a=4.2429 b=4.2429 c=4.2429 alpha=60.00 beta=60.00 gamma=60.00
Sites, in units of the cell vectors:
Mn: 0.7500 0.7500 0.7500
Pb: 0.0000 0.0000 0.0000
Tc: 0.5000 0.5000 0.5000

=====

15.
Compound: SrLi2P
Source: Alexandria via LeMat-Bulk
Functional: PBE-GGA
Structure: optimized geometry

Summary:
Total DFT energy (no corrections) = -3.20 eV/atom
ΔE_f = -0.466 eV/atom
Symmetry = Cmmm
Total moment = 0.90 Bohr magnetons per cell

Unit cell a=4.5495 b=4.5875 c=4.5920 alpha=82.39 beta=90.00 gamma=90.00
Sites, in units of the cell vectors:
Li: 0.0000 0.0845 0.0845
Li: 0.0000 0.4155 0.4155
P: 0.5000 0.2500 0.2500
Sr: 0.5000 0.7500 0.7500

=====

16.
Compound: NaRePPb2
Source: Alexandria via LeMat-Bulk
Functional: PBE-GGA
Structure: optimized geometry

Summary:
Total DFT energy (no corrections) = -4.19 eV/atom
ΔE_f = 1.130 eV/atom
Symmetry = P4/mmm
Total moment = 3.02 Bohr magnetons per cell

Unit cell a=5.2838 b=5.5819 c=5.2838 alpha=90.00 beta=90.00 gamma=90.00
Sites, in units of the cell vectors:
Pb: 0.0000 0.0000 0.5000
Pb: 0.5000 0.0000 0.0000
Re: 0.0000 0.0000 0.0000
Na: 0.0000 0.5000 0.0000
P: 0.5000 0.5000 0.5000

=====

17.
Compound: RbHf2Cl
Source: Alexandria via LeMat-Bulk
Functional: PBE-GGA
Structure: optimized geometry

Summary:
Total DFT energy (no corrections) = -4.68 eV/atom
Distance to the lowest polymorph of the same formula = 0.0000 eV/atom
Energy relative to the elements, uncorrected = 1.001 eV/atom
Symmetry = I-42d
Total moment = 0.00 Bohr magnetons per cell

Unit cell a=7.7603 b=7.7603 c=7.4211 alpha=58.48 beta=58.48 gamma=90.00
Sites, in units of the cell vectors:
Hf: 0.4369 0.1250 0.2500
Hf: 0.3131 0.6250 0.2500
Hf: 0.3750 0.5631 0.7500
Hf: 0.8750 0.6869 0.7500
Rb: 0.0000 0.0000 0.0000
Rb: 0.7500 0.2500 0.5000
Cl: 0.5000 0.5000 0.0000
Cl: 0.2500 0.7500 0.5000

=====

18.
Compound: Pm4YPa3N8
Source: Alexandria via LeMat-Bulk
Functional: PBE-GGA
Structure: optimized geometry

Summary:
Total DFT energy (no corrections) = -9.14 eV/atom
Energy relative to the elements, uncorrected = -1.608 eV/atom
Symmetry = R-3m
Total moment = 0.00 Bohr magnetons per cell

Unit cell a=7.0903 b=7.1161 c=7.0902 alpha=119.89 beta=120.00 gamma=90.00
Sites, in units of the cell vectors:
Pm: 0.5000 0.0000 0.0000
Pm: 0.5000 0.0000 0.5000
Pm: 0.0000 0.0000 0.0000
Pm: 0.0000 0.0000 0.5000
Y: 0.0000 0.5000 0.0000
Pa: 0.5000 0.5000 0.0000
Pa: 0.5000 0.5000 0.5000
Pa: 0.0000 0.5000 0.5000
N: 0.2456 0.7202 0.9746
N: 0.2456 0.7202 0.4912
N: 0.2605 0.2815 0.5210
N: 0.7290 0.7202 0.9746
N: 0.2710 0.2798 0.0254
N: 0.7395 0.7185 0.4790
N: 0.7544 0.2798 0.5088
N: 0.7544 0.2798 0.0254

=====

19.
Compound: CoBAs2Br
Source: Alexandria via LeMat-Bulk
Functional: PBE-GGA
Structure: optimized geometry

Summary:
Total DFT energy (no corrections) = -3.81 eV/atom
Distance to the lowest polymorph of the same formula = 0.0000 eV/atom
Energy relative to the elements, uncorrected = 1.137 eV/atom
Symmetry = P4/mmm
Total moment = 1.62 Bohr magnetons per cell

Unit cell a=4.3135 b=4.3135 c=4.7440 alpha=90.00 beta=90.00 gamma=90.00
Sites, in units of the cell vectors:
As: 0.0000 0.5000 0.0000
As: 0.5000 0.0000 0.0000
B: 0.0000 0.0000 0.0000
Co: 0.5000 0.5000 0.5000
Br: 0.0000 0.0000 0.5000

=====

20.
Compound: VTc12B6
Source: Alexandria via LeMat-Bulk
Functional: PBE-GGA
Structure: optimized geometry

Summary:
Total DFT energy (no corrections) = -9.45 eV/atom
ΔE_f = -0.313 eV/atom
Symmetry = Im-3
Total moment = 0.00 Bohr magnetons per cell

Unit cell a=6.6129 b=6.6129 c=6.6129 alpha=109.47 beta=109.47 gamma=109.47
Sites, in units of the cell vectors:
V: 0.0000 0.0000 0.0000
Tc: 0.2994 0.1136 0.8141
Tc: 0.2994 0.4853 0.1859
Tc: 0.7006 0.5147 0.8141
Tc: 0.7006 0.8864 0.1859
Tc: 0.1136 0.8141 0.2994
Tc: 0.4853 0.1859 0.2994
Tc: 0.5147 0.8141 0.7006
Tc: 0.8864 0.1859 0.7006
Tc: 0.8141 0.2994 0.1136
Tc: 0.1859 0.2994 0.4853
Tc: 0.8141 0.7006 0.5147
Tc: 0.1859 0.7006 0.8864
B: 0.3838 0.5000 0.8838
B: 0.6162 0.5000 0.1162
B: 0.5000 0.8838 0.3838
B: 0.5000 0.1162 0.6162
B: 0.8838 0.3838 0.5000
B: 0.1162 0.6162 0.5000